Record 1
Computed, not measured: crystalline BaZn2CoBi at its relaxed geometry at the GGA-PBE level of DFT.

Calculated values
density = 4.3 g cm⁻³
space group = P4/mmm, No. 123
formation energy from the elements = 826 meV/atom

Cell: 5.492 5.492 6.884 Å, 90.00 90.00 90.00°
Atoms (fractional coordinates):
Ba  0.000  0.000  0.000
Zn  0.000  0.500  0.500
Zn  0.500  0.000  0.500
Co  0.500  0.500  0.000
Bi  0.000  0.000  0.500

---

Record 2
Computed, not measured: crystalline BaCr3Bi at its relaxed geometry at the GGA-PBE level of DFT.

Calculated values
energy relative to the lowest polymorph listed for this composition = 0 meV per atom
density = 5.2 g cm⁻³
space group = Pm-3m, No. 221
formation energy from the elements = 1008 meV/atom

Cell: 5.451 5.451 5.451 Å, 90.00 90.00 90.00°
Atoms (fractional coordinates):
Ba  0.000  0.000  0.000
Cr  0.000  0.500  0.500
Cr  0.500  0.000  0.500
Cr  0.500  0.500  0.000
Bi  0.500  0.500  0.500

---

Record 3
Computed, not measured: crystalline BaCrBi3 at its relaxed geometry at the GGA-PBE level of DFT.

Calculated values
energy relative to the lowest polymorph listed for this composition = 0 meV per atom
density = 8.2 g cm⁻³
space group = Pm-3m, No. 221
formation energy from the elements = -60 meV/atom

Cell: 5.498 5.498 5.498 Å, 90.00 90.00 90.00°
Atoms (fractional coordinates):
Ba  0.000  0.000  0.000
Cr  0.500  0.500  0.500
Bi  0.000  0.500  0.500
Bi  0.500  0.000  0.500
Bi  0.500  0.500  0.000

---

What electronic total energy values result from the calculations? In sequence: -2.27; -5.93; -4.70 eV per atom.
What magnetization values result from the calculations? In sequence: 1.827; 13.314; 3.137 μB/f.u..